1.
PBE HfTcGe3, relaxed; magnetic moment = 0.9233 μB per atom; crystal system = cubic; DFT formation energy = 1.18 eV/atom; E above lowest polymorph = 1.3328 eV per atom
1.0
5.100 0.000 0.000
0.000 5.100 0.000
0.000 0.000 5.100
Ge Hf Tc
3 1 1
Direct
0.000 0.500 0.000 Ge
0.000 0.000 0.500 Ge
0.500 0.000 0.000 Ge
0.000 0.000 0.000 Hf
0.500 0.500 0.500 Tc



2.
PBE Hf2TcGe4, relaxed; magnetic moment = 0.0000 μB per atom; crystal system = tetragonal; DFT formation energy = -0.21 eV/atom; E above lowest polymorph = 0.0000 eV per atom
1.0
3.757 0.000 0.000
0.000 3.757 0.000
0.000 0.000 9.336
Hf Tc Ge
2 1 4
Direct
0.500 0.000 0.734 Hf
0.000 0.500 0.266 Hf
0.500 0.500 0.000 Tc
0.500 0.000 0.169 Ge
0.000 0.500 0.831 Ge
0.500 0.500 0.500 Ge
0.000 0.000 0.500 Ge



3.
PBE HfTc2Ge, relaxed; magnetic moment = 0.0000 μB per atom; crystal system = orthorhombic; DFT formation energy = 0.30 eV/atom
1.0
-1.888 2.027 -5.381
0.140 1.652 5.820
4.431 -0.661 4.069
Hf Tc Ge
1 2 1
Direct
0.000 0.500 0.500 Hf
0.000 0.215 0.215 Tc
0.000 0.785 0.785 Tc
0.000 0.000 0.000 Ge



4.
PBE HfTcGe3, relaxed; magnetic moment = 0.0000 μB per atom; crystal system = cubic; DFT formation energy = 0.57 eV/atom; E above lowest polymorph = 0.7289 eV per atom
1.0
-0.037 1.730 -4.433
-2.133 -3.969 -1.532
-4.254 1.975 0.806
Ge Hf Tc
3 1 1
Direct
0.000 0.500 0.000 Ge
0.000 0.000 0.500 Ge
0.500 0.000 0.000 Ge
0.500 0.500 0.500 Hf
0.000 0.000 0.000 Tc



5.
PBE HfTc2Ge2, relaxed; magnetic moment = 0.0000 μB per atom; crystal system = tetragonal; DFT formation energy = -0.25 eV/atom; E above lowest polymorph = 0.0000 eV per atom
1.0
7.218 0.000 0.000
0.000 7.218 0.000
0.000 0.000 3.056
Ge Hf Tc
4 2 4
Direct
0.358 0.858 0.000 Ge
0.858 0.642 0.000 Ge
0.642 0.142 0.000 Ge
0.142 0.358 0.000 Ge
0.000 0.000 0.000 Hf
0.500 0.500 0.000 Hf
0.152 0.652 0.500 Tc
0.652 0.848 0.500 Tc
0.848 0.348 0.500 Tc
0.348 0.152 0.500 Tc



6.
PBE Hf4Tc7Ge6, relaxed; magnetic moment = 0.0000 μB per atom; crystal system = cubic; DFT formation energy = -0.43 eV/atom
1.0
-4.827 -5.225 0.368
5.229 -1.908 -4.444
2.708 1.191 6.480
Hf Tc Ge
4 7 6
Direct
0.500 0.000 0.000 Hf
0.500 0.500 0.500 Hf
0.000 0.500 0.000 Hf
0.000 0.000 0.500 Hf
0.750 0.500 0.250 Tc
0.250 0.750 0.500 Tc
0.500 0.750 0.250 Tc
0.750 0.250 0.500 Tc
0.250 0.500 0.750 Tc
0.500 0.250 0.750 Tc
0.000 0.000 0.000 Tc
0.695 0.000 0.695 Ge
0.695 0.695 0.000 Ge
0.000 0.305 0.305 Ge
0.305 0.000 0.305 Ge
0.305 0.305 0.000 Ge
0.000 0.695 0.695 Ge